Ce12SiRu7 (PBE-GGA, optimized geometry); spin magnetization = 0.00 μB/f.u.; space group = No. 148; energy relative to the elements, uncorrected = -0.2871 eV/atom; calculated volume = 438 Å³ per cell
1.0
6.7856 3.9177 2.7433
-6.7856 3.9177 2.7433
0.0000 -7.8353 2.7433
Ce Si Ru
12 1 7
Cartesian
-1.3612 -1.6267 2.2442
-3.4939 0.6831 3.3986
-2.3385 -2.6843 4.8314
-0.7281 1.9921 2.2442
1.1554 -3.3673 3.3986
2.0893 -0.3655 2.2442
-2.0893 0.3655 5.9858
-1.1554 3.3673 4.8314
0.7282 -1.9921 5.9858
2.3385 2.6842 3.3986
3.4939 -0.6830 4.8314
1.3612 1.6267 5.9858
0.0000 0.0000 0.0000
-6.1034 1.3324 3.4900
-4.2056 -4.6195 4.7400
1.8978 -5.9519 3.4900
0.0000 0.0000 4.1150
-1.8979 5.9519 4.7400
4.2056 4.6195 3.4900
6.1034 -1.3324 4.7400